[1]
RbBi2Pb3Se6: optimized geometry, GGA-PBE.

Computed properties:
- ρ: 7.1 Mg/m³
- D(E_F): 3.3 states/eV/f.u.
- ΔE_f (raw): -0.532 eV/atom
- Uncorrected energy: -3.93 eV/atom

Unit cell a=19.1842 b=4.4525 c=8.9777 alpha=90.00 beta=101.02 gamma=90.00
Closest atoms and distances in Å follow each position.
Space group C2/m (No. 12)
Unique sites:
Rb1 0.0000 0.0000 0.0000 x2  6 Se 3.30-3.40
Bi1 0.1636 0.5000 0.3356 x4  3 Se 2.79-2.98
Pb1 0.0000 0.0000 0.5000 x2  6 Se 3.05-3.15
Pb2 0.1662 0.5000 0.8210 x4  3 Se 2.92-3.03
Se1 0.0154 0.5000 0.2762 x4  1 Bi 2.79, 2 Pb 3.05
Se2 0.1667 0.0000 0.5928 x4  3 Pb 3.03-3.15, 3 Bi 3.20
Se3 0.1790 0.0000 0.1243 x4  1 Pb 2.92, 2 Bi 2.98



[2]
AcPm9Tl2: optimized geometry, GGA-PBE.

Computed properties:
- ρ: 8.3 Mg/m³
- D(E_F): 15.3 states/eV/f.u.
- Uncorrected energy: -4.41 eV/atom
- E_form: -107 meV/atom

Unit cell a=5.0211 b=5.0211 c=15.4711 alpha=90.00 beta=90.00 gamma=90.00
Closest atoms and distances in Å follow each position.
Space group P4/mmm (No. 123)
Unique sites:
Ac1 0.0000 0.0000 0.0000 x1  12 Pm 3.55-3.74
Pm1 0.0000 0.5000 0.1789 x4  2 Tl 3.54, 8 Pm 3.55-3.74, 2 Ac 3.74
Pm2 0.0000 0.5000 0.5000 x2  8 Pm 3.50-3.55, 4 Tl 3.52
Pm3 0.5000 0.5000 0.0000 x1  4 Ac 3.55, 8 Pm 3.74
Pm4 0.5000 0.5000 0.3424 x2  8 Pm 3.50-3.56, 4 Tl 3.55
Tl1 0.0000 0.0000 0.3403 x2  12 Pm 3.52-3.55



[3]
Rb2TcTeI6: optimized geometry, GGA-PBE.

Computed properties:
- ρ: 4.3 Mg/m³
- D(E_F): 5.2 states/eV/f.u.
- ΔE_f (raw): -0.481 eV/atom
- Uncorrected energy: -2.96 eV/atom

Unit cell a=8.6496 b=8.6496 c=11.9087 alpha=90.00 beta=90.00 gamma=90.00
Closest atoms and distances in Å follow each position.
Space group I4/mmm (No. 139)
Unique sites:
Rb1 0.0000 0.5000 0.2500 x4  12 I 4.28-4.33
Tc1 0.0000 0.0000 0.0000 x2  6 I 2.80-2.83
Te1 0.0000 0.0000 0.5000 x2  6 I 3.12-3.31
I1 0.0000 0.0000 0.2377 x4  1 Tc 2.83, 1 Te 3.12
I2 0.2291 0.2291 0.0000 x8  1 Tc 2.80



[4]
MgGa2Cu: optimized geometry, GGA-PBE.

Computed properties:
- ρ: 5.8 Mg/m³
- D(E_F): 2.2 states/eV/f.u.
- Uncorrected energy: -3.01 eV/atom
- E_form: -76 meV/atom

Unit cell a=3.9992 b=3.9992 c=4.0788 alpha=90.00 beta=90.00 gamma=90.00
Closest atoms and distances in Å follow each position.
Space group P4/mmm (No. 123)
Unique sites:
Mg1 0.0000 0.0000 0.0000 x1  4 Cu 2.83, 8 Ga 2.86
Ga1 0.0000 0.5000 0.5000 x2  4 Ga 2.83, 4 Mg 2.86, 4 Cu 2.86
Cu1 0.5000 0.5000 0.0000 x1  4 Mg 2.83, 8 Ga 2.86



Please write out number 2 again, unchanged.
AcPm9Tl2: optimized geometry, GGA-PBE.

Computed properties:
- ρ: 8.3 Mg/m³
- D(E_F): 15.3 states/eV/f.u.
- Uncorrected energy: -4.41 eV/atom
- E_form: -107 meV/atom

Unit cell a=5.0211 b=5.0211 c=15.4711 alpha=90.00 beta=90.00 gamma=90.00
Closest atoms and distances in Å follow each position.
Space group P4/mmm (No. 123)
Unique sites:
Ac1 0.0000 0.0000 0.0000 x1  12 Pm 3.55-3.74
Pm1 0.0000 0.5000 0.1789 x4  2 Tl 3.54, 8 Pm 3.55-3.74, 2 Ac 3.74
Pm2 0.0000 0.5000 0.5000 x2  8 Pm 3.50-3.55, 4 Tl 3.52
Pm3 0.5000 0.5000 0.0000 x1  4 Ac 3.55, 8 Pm 3.74
Pm4 0.5000 0.5000 0.3424 x2  8 Pm 3.50-3.56, 4 Tl 3.55
Tl1 0.0000 0.0000 0.3403 x2  12 Pm 3.52-3.55



Q: Which of these has the lowest ρ?
A: Rb2TcTeI6



Q: Which formula does entry 1 have?
A: RbBi2Pb3Se6



Q: Number 1 is which compound?
A: RbBi2Pb3Se6